First-principles (PBE) data for BaTl2HgCl6 after structural relaxation, as listed in the Alexandria database.

## Properties
density of states at the Fermi level	0.000	states/eV per atom
volume	344.5	Å³/f.u.
total energy	-3.11	eV per atom
crystal system	triclinic

a = 7.804 Å, b = 7.809 Å, c = 7.929 Å
α = 90.03°, β = 119.47°, γ = 119.97°
Space group P1 (No. 1)
Unique sites:
Ba (0.000, 0.000, 0.000)
Tl (0.564, 0.782, 0.345)
Tl (0.565, 0.283, 0.847)
Hg (0.997, 0.498, 0.495)
Cl (0.063, 0.237, 0.696)
Cl (0.065, 0.369, 0.219)
Cl (0.459, 0.826, 0.696)
Cl (0.523, 0.154, 0.219)
Cl (0.850, 0.696, 0.218)
Cl (0.870, 0.633, 0.696)